(1)
This record from the Alexandria database describes crystalline GeSbPdI2 at its relaxed geometry. The functional is GGA-PBE.

Unit cell a=5.600 b=5.600 c=5.518 alpha=90.00 beta=90.00 gamma=90.00
Positions (direct):
Ge 0.000 0.000 0.000
Sb 0.000 0.000 0.500
Pd 0.500 0.500 0.500
I 0.000 0.500 0.000
I 0.500 0.000 0.000

Results
**Theoretical density**: 5.3 g/cm³
**Energy above the lowest structure with this stoichiometry**: 0.291 eV per atom
**ΔE_f (raw)**: 16.24 kcal/mol of atoms
**Crystal system**: tetragonal
**Total magnetization**: 0.62 μB per formula unit
**VASP energy**: -2.7023 eV per atom



(2)
This record from the Alexandria database describes crystalline GeSbPdI2 at its relaxed geometry. The functional is GGA-PBE.

Unit cell a=5.426 b=5.426 c=5.293 alpha=90.00 beta=90.00 gamma=90.00
Positions (direct):
Ge 0.000 0.000 0.000
Sb 0.500 0.500 0.000
Pd 0.500 0.500 0.500
I 0.000 0.500 0.500
I 0.500 0.000 0.500

Results
**Theoretical density**: 5.9 g/cm³
**Energy above the lowest structure with this stoichiometry**: 0.000 eV per atom
**ΔE_f (raw)**: 9.53 kcal/mol of atoms
**Crystal system**: tetragonal
**Total magnetization**: 0.00 μB per formula unit
**VASP energy**: -2.9931 eV per atom



(3)
This record from the Alexandria database describes crystalline Ge2PdSeI at its relaxed geometry. The functional is GGA-PBE.

Unit cell a=5.572 b=5.572 c=4.908 alpha=90.00 beta=90.00 gamma=90.00
Positions (direct):
Ge 0.000 0.500 0.000
Ge 0.500 0.000 0.000
Pd 0.000 0.000 0.500
Se 0.500 0.500 0.500
I 0.000 0.000 0.000

Results
**Theoretical density**: 5.0 g/cm³
**ΔE_f (raw)**: 21.01 kcal/mol of atoms
**Crystal system**: tetragonal
**Total magnetization**: 0.00 μB per formula unit
**VASP energy**: -2.9813 eV per atom



The highest VASP energy belongs to which entry? number 1



What is the theoretical density in the third record? 5.0 g/cm³



Which value of VASP energy does entry 1 give? -2.7023 eV per atom